CdGeS2 | GGA-PBE | optimized geometry

Total magnetization = 0.000 μB per atom
Formation energy from raw total energies = -0.105 eV/atom

Cell lengths 9.0662, 9.0662, 9.0662 Å; angles 21.83, 21.83, 21.83 degrees
With the nearest neighbours (Å) after each atom.
Fractional positions:
Cd  0.0000  0.0000  0.0000  2 S 3.01
Ge  0.5000  0.5000  0.5000  6 S 2.44
S  0.1133  0.1133  0.1133  3 Ge 2.44
S  0.8867  0.8867  0.8867  3 Ge 2.44

Zn2OsPb | GGA-PBE | optimized geometry

Total magnetization = 0.000 μB per atom
E_form = 390 meV per atom

Cell lengths 3.2333, 3.2333, 7.0743 Å; angles 90.00, 90.00, 90.00 degrees
With the nearest neighbours (Å) after each atom.
Fractional positions:
Zn  0.0000  0.0000  0.1837  1 Zn 2.60, 4 Os 2.63
Zn  0.0000  0.0000  0.8163  1 Zn 2.60, 4 Os 2.63
Os  0.5000  0.5000  0.0000  8 Zn 2.63
Pb  0.5000  0.5000  0.5000  8 Zn 3.20, 4 Pb 3.23, 2 Os 3.54

DyYAs2 | GGA-PBE | optimized geometry

Total magnetization = 0.000 μB per atom
E above lowest polymorph = 0.000 eV/atom
E_form = -1550 meV per atom

Cell lengths 7.1377, 7.1377, 7.1377 Å; angles 131.84, 131.84, 70.48 degrees
With the nearest neighbours (Å) after each atom.
Fractional positions:
Dy  0.3750  0.6250  0.7500  6 As 2.91
Dy  0.6250  0.3750  0.2500  6 As 2.91
Y  0.1250  0.8750  0.2500  6 As 2.91-2.92
Y  0.8750  0.1250  0.7500  6 As 2.91-2.92
As  0.1253  0.3753  0.7500  3 Dy 2.91, 3 Y 2.91-2.92
As  0.3753  0.1253  0.2500  3 Dy 2.91, 3 Y 2.91-2.92
As  0.6247  0.8747  0.7500  3 Dy 2.91, 3 Y 2.91-2.92
As  0.8747  0.6247  0.2500  3 Dy 2.91, 3 Y 2.91-2.92

Cr2HgW | GGA-PBE | optimized geometry

Total magnetization = 0.888 μB per atom
E_form = 393 meV per atom

Cell lengths 3.1276, 3.1276, 6.4322 Å; angles 90.00, 90.00, 90.00 degrees
With the nearest neighbours (Å) after each atom.
Fractional positions:
Cr  0.0000  0.0000  0.2170  4 W 2.62, 1 Cr 2.79, 4 Hg 2.86
Cr  0.0000  0.0000  0.7830  4 W 2.62, 1 Cr 2.79, 4 Hg 2.86
Hg  0.5000  0.5000  0.5000  8 Cr 2.86, 4 Hg 3.13
W  0.5000  0.5000  0.0000  8 Cr 2.62

Si2PRu | GGA-PBE | optimized geometry

Total magnetization = 0.000 μB per atom
Formation energy from raw total energies = 0.056 eV/atom

Cell lengths 3.8234, 3.0958, 5.0645 Å; angles 90.00, 110.19, 90.00 degrees
With the nearest neighbours (Å) after each atom.
Fractional positions:
Si  0.0339  0.0000  0.2498  2 P 2.37, 2 Si 2.45-2.63, 2 Ru 2.53
Si  0.9661  0.0000  0.7502  2 P 2.37, 2 Si 2.45-2.63, 2 Ru 2.53
P  0.5000  0.5000  0.5000  4 Si 2.37, 2 Ru 2.53
Ru  0.5000  0.5000  0.0000  4 Si 2.53, 2 P 2.53

YRu2W | GGA-PBE | optimized geometry

Total magnetization = 0.000 μB per atom
E above lowest polymorph = 0.142 eV/atom
E_form = 59 meV per atom

Cell lengths 4.6715, 4.6715, 3.1226 Å; angles 90.00, 90.00, 90.00 degrees
With the nearest neighbours (Å) after each atom.
Fractional positions:
Y  0.0000  0.0000  0.0000  8 Ru 2.81, 2 Y 3.12
Ru  0.0000  0.5000  0.5000  4 W 2.81, 4 Y 2.81, 2 Ru 3.12
Ru  0.5000  0.0000  0.5000  4 W 2.81, 4 Y 2.81, 2 Ru 3.12
W  0.5000  0.5000  0.0000  8 Ru 2.81, 2 W 3.12